No. 1
CeSm2Pb | PBE | relaxed Values from VASP.

Values from the calculation:
calculated density: 9.0 g cm⁻³
volume: 118.98 Å³ per cell
E_form: -0.086 eV/atom
total magnetic moment: 0.58 μB/f.u.
ΔE to the lowest computed polymorph: 4.449 kcal/mol of atoms
D(E_F): 8.6 states/eV per cell

```
&SYSTEM
  ibrav = 0, nat = 4, ntyp = 3
/
ATOMIC_SPECIES
Ce 140.12 Ce.upf
Sm 150.36 Sm.upf
Pb 207.20 Pb.upf
CELL_PARAMETERS angstrom
0.000 3.904 3.904
3.904 0.000 3.904
3.904 3.904 0.000
ATOMIC_POSITIONS crystal
Ce 0.000 0.000 0.000
Sm 0.250 0.250 0.250
Sm 0.750 0.750 0.750
Pb 0.500 0.500 0.500
```

---

No. 2
SrBeBiO4 | PBE | relaxed Values from VASP.

Values from the calculation:
calculated density: 6.5 g cm⁻³
volume: 188.57 Å³ per cell
total magnetic moment: 0.00 μB/f.u.
D(E_F): 5.4 states/eV per cell
ΔE_f (raw): -189 kJ/mol of atoms

```
&SYSTEM
  ibrav = 0, nat = 14, ntyp = 4
/
ATOMIC_SPECIES
Sr 87.62 Sr.upf
Be 9.01 Be.upf
Bi 208.98 Bi.upf
O 16.00 O.upf
CELL_PARAMETERS angstrom
5.336 0.000 0.000
0.000 5.462 0.000
-2.229 0.000 6.470
ATOMIC_POSITIONS crystal
Sr 0.206 0.250 0.430
Sr 0.794 0.750 0.570
Be 0.261 0.750 0.182
Be 0.739 0.250 0.818
Bi 0.283 0.250 0.964
Bi 0.717 0.750 0.036
O 0.070 0.750 0.331
O 0.072 0.750 0.939
O 0.468 0.517 0.227
O 0.468 0.983 0.227
O 0.532 0.017 0.773
O 0.532 0.483 0.773
O 0.928 0.250 0.061
O 0.930 0.250 0.669
```

---

No. 3
BaIn2SnRh | PBE | relaxed Values from VASP.

Values from the calculation:
calculated density: 6.8 g cm⁻³
volume: 143.02 Å³ per cell
E_form: -0.369 eV/atom
total magnetic moment: 0.00 μB/f.u.
ΔE to the lowest computed polymorph: 0.000 kcal/mol of atoms
D(E_F): 4.0 states/eV per cell

```
&SYSTEM
  ibrav = 0, nat = 5, ntyp = 4
/
ATOMIC_SPECIES
Ba 137.33 Ba.upf
In 114.82 In.upf
Sn 118.71 Sn.upf
Rh 102.91 Rh.upf
CELL_PARAMETERS angstrom
5.220 0.000 0.000
0.000 5.220 0.000
0.000 0.000 5.248
ATOMIC_POSITIONS crystal
Ba 0.000 0.000 0.000
In 0.000 0.500 0.500
In 0.500 0.000 0.500
Sn 0.500 0.500 0.000
Rh 0.500 0.500 0.500
```